{"formula": "Mg2GaBIr2", "functional": "PBE", "state": "optimized geometry", "sg": "No. 72", "formation_energy_ev_per_atom": -0.353, "cell": [[-3.6235, 5.1552, 2.6482], [3.6235, -5.1552, 2.6482], [3.6235, 5.1552, -2.6482]], "species": ["Mg", "Mg", "Mg", "Mg", "Ga", "Ga", "B", "B", "Ir", "Ir", "Ir", "Ir"], "frac_coords": [[0.2003, 0.1423, 0.3426], [0.2997, 0.6423, 0.9419], [0.7003, 0.3577, 0.0581], [0.7997, 0.8577, 0.6574], [0.2500, 0.7500, 0.5000], [0.7500, 0.2500, 0.5000], [0.2500, 0.2500, 0.0000], [0.7500, 0.7500, 0.0000], [0.0639, 0.7942, 0.8581], [0.4361, 0.2942, 0.7303], [0.5639, 0.7058, 0.2697], [0.9361, 0.2058, 0.1419]]}

{"formula": "SrCdP2Cl", "functional": "PBE", "state": "optimized geometry", "sg": "No. 123", "formation_energy_uncorrected_mev_per_atom": 397, "relative_energy_mev_per_atom": 598, "cell": [[5.8636, 0.0000, 0.0000], [0.0000, 5.8636, 0.0000], [0.0000, 0.0000, 5.4425]], "species": ["Sr", "Cd", "P", "P", "Cl"], "frac_coords": [[0.0000, 0.0000, 0.0000], [0.5000, 0.5000, 0.5000], [0.0000, 0.5000, 0.0000], [0.5000, 0.0000, 0.0000], [0.0000, 0.0000, 0.5000]]}

{"formula": "Y5Mg", "functional": "PBE", "state": "optimized geometry", "sg": "No. 216", "formation_energy_ev_per_atom": 0.246, "relative_energy_mev_per_atom": 263, "cell": [[0.0000, 4.6069, 4.6069], [4.6069, 0.0000, 4.6069], [4.6069, 4.6069, 0.0000]], "species": ["Y", "Y", "Y", "Y", "Y", "Mg"], "frac_coords": [[0.0000, 0.0000, 0.0000], [0.3744, 0.3744, 0.3744], [0.3744, 0.3744, 0.8767], [0.3744, 0.8767, 0.3744], [0.8767, 0.3744, 0.3744], [0.7500, 0.7500, 0.7500]]}

{"formula": "Ce4SbTe2As", "functional": "PBE", "state": "optimized geometry", "sg": "No. 10", "formation_energy_uncorrected_mev_per_atom": -1310, "cell": [[7.6655, 0.0000, 0.0000], [0.0000, 4.4224, 0.0000], [-2.5556, 0.0000, 7.2910]], "species": ["Ce", "Ce", "Ce", "Ce", "Sb", "Te", "Te", "As"], "frac_coords": [[0.2330, 0.0000, 0.2305], [0.2430, 0.5000, 0.7619], [0.7570, 0.5000, 0.2381], [0.7670, 0.0000, 0.7695], [0.5000, 0.0000, 0.0000], [0.0000, 0.0000, 0.5000], [0.5000, 0.5000, 0.5000], [0.0000, 0.5000, 0.0000]]}

no.,theoretical density (Mg/m³),magnetization (μB/atom),calculated volume (Å³ per cell)
1,8.62,0.000,197.87
2,2.64,0.469,187.12
3,3.98,0.000,195.54
4,6.80,0.531,247.16